No. 1
DFT (GGA-PBE) results for a relaxed structure of Sb2PdPt7.

Computed properties:
Calculated total energy, eV for the cell shown: -55.46
Theoretical density, g/cm3: 13.9

abc: 3.9046 8.0844 8.0845
angles: 126.80 90.00 90.00
Last column: nearest neighbours and their distance in Å.
Element x y z (fractional)
Pt  0.5000  0.0896  0.2857  1 Sb 2.62, 5 Pt 2.67-2.83, 2 Pd 2.77
Pt  0.0000  0.8097  0.1903  2 Sb 2.61, 4 Pt 2.73, 1 Pd 2.75
Pt  0.5000  0.7143  0.9104  1 Sb 2.62, 5 Pt 2.67-2.83, 2 Pd 2.77
Pt  0.5000  0.9104  0.7143  1 Sb 2.62, 5 Pt 2.67-2.83, 2 Pd 2.77
Pt  0.5000  0.5000  0.5000  4 Pt 2.67, 2 Sb 2.74
Pt  0.0000  0.1903  0.8097  2 Sb 2.61, 4 Pt 2.73, 1 Pd 2.75
Pt  0.5000  0.2857  0.0896  1 Sb 2.62, 5 Pt 2.67-2.83, 2 Pd 2.77
Pd  0.0000  0.0000  0.0000  10 Pt 2.75-2.77
Sb  0.5000  0.6895  0.3105  5 Pt 2.61-2.74
Sb  0.5000  0.3105  0.6895  5 Pt 2.61-2.74

***

No. 2
DFT (GGA-PBE) results for a relaxed structure of PmPrSm3.

Computed properties:
Calculated total energy, eV for the cell shown: -45.55
Theoretical density, g/cm3: 7.0
Relative energy among the computed polymorphs, eV per formula unit: 0.86

abc: 5.5000 8.1935 7.7640
angles: 90.00 90.00 90.00
Last column: nearest neighbours and their distance in Å.
Element x y z (fractional)
Pm  0.2500  0.2500  0.5447  3 Sm 3.16-3.38
Pm  0.7500  0.7500  0.4553  3 Sm 3.16-3.38
Sm  0.2500  0.9474  0.2482  4 Sm 3.23-3.55, 3 Pm 3.38-3.57
Sm  0.2500  0.5526  0.2482  4 Sm 3.23-3.55, 3 Pm 3.38-3.57
Sm  0.7500  0.7500  0.0489  1 Pm 3.16, 2 Sm 3.39
Sm  0.7500  0.0526  0.7518  4 Sm 3.23-3.55, 3 Pm 3.38-3.57
Sm  0.2500  0.2500  0.9511  1 Pm 3.16, 2 Sm 3.39
Sm  0.7500  0.4474  0.7518  4 Sm 3.23-3.55, 3 Pm 3.38-3.57
Pr  0.7500  0.2500  0.2452  6 Sm 3.57-3.70, 2 Pm 3.60
Pr  0.2500  0.7500  0.7548  6 Sm 3.57-3.70, 2 Pm 3.60

***

No. 3
DFT (GGA-PBE) results for a relaxed structure of Ce5As2Se2.

Computed properties:
Calculated total energy, eV for the cell shown: -115.64
Theoretical density, g/cm3: 7.3

abc: 7.8603 7.8112 8.4473
angles: 117.54 90.00 90.00
Last column: nearest neighbours and their distance in Å.
Element x y z (fractional)
Ce  0.3435  0.7060  0.7294  3 As 2.98-3.12, 3 Se 3.05-3.11
Ce  0.6565  0.2940  0.2706  3 As 2.98-3.12, 3 Se 3.05-3.11
Ce  0.6565  0.0234  0.7294  3 As 2.98-3.12, 3 Se 3.05-3.11
Ce  0.3435  0.9766  0.2706  3 As 2.98-3.12, 3 Se 3.05-3.11
Ce  0.1565  0.4766  0.2706  3 As 2.98-3.12, 3 Se 3.05-3.11
Ce  0.8435  0.5234  0.7294  3 As 2.98-3.12, 3 Se 3.05-3.11
Ce  0.8435  0.7940  0.2706  3 As 2.98-3.12, 3 Se 3.05-3.11
Ce  0.1565  0.2060  0.7294  3 As 2.98-3.12, 3 Se 3.05-3.11
Ce  0.5000  0.5000  0.0000  2 Se 2.96, 4 As 3.00-3.01
Ce  0.0000  0.0000  0.0000  2 Se 2.96, 4 As 3.00-3.01
Se  0.5000  0.3025  0.6050  7 Ce 2.96-3.11
Se  0.0000  0.8025  0.6050  7 Ce 2.96-3.11
Se  0.0000  0.1975  0.3950  7 Ce 2.96-3.11
Se  0.5000  0.6975  0.3950  7 Ce 2.96-3.11
As  0.1452  0.6449  0.0000  8 Ce 2.98-3.12, 1 As 3.22
As  0.8548  0.3551  0.0000  8 Ce 2.98-3.12, 1 As 3.22
As  0.6452  0.8551  0.0000  8 Ce 2.98-3.12, 1 As 3.22
As  0.3548  0.1449  0.0000  8 Ce 2.98-3.12, 1 As 3.22

***

No. 4
DFT (GGA-PBE) results for a relaxed structure of GdHo2Se.

Computed properties:
Calculated total energy, eV for the cell shown: -28.99
Theoretical density, g/cm3: 7.7
Relative energy among the computed polymorphs, eV per formula unit: 0.43

abc: 3.7000 3.7000 10.5046
angles: 79.86 79.86 60.00
Last column: nearest neighbours and their distance in Å.
Element x y z (fractional)
Ho  0.1080  0.1080  0.6759  3 Se 2.80
Ho  0.8920  0.8920  0.3241  3 Se 2.80
Gd  0.0000  0.0000  0.0000  2 Ho 3.33, 6 Gd 3.70
Se  0.5000  0.5000  0.5000  6 Ho 2.80

***

No. 5
DFT (GGA-PBE) results for a relaxed structure of Ca2YOs.

Computed properties:
Calculated total energy, eV for the cell shown: -19.32
Theoretical density, g/cm3: 5.9
Relative energy among the computed polymorphs, eV per formula unit: 2.03

abc: 5.9120 5.9120 3.2837
angles: 90.00 90.00 118.76
Last column: nearest neighbours and their distance in Å.
Element x y z (fractional)
Y  0.0000  0.5000  0.5000  2 Os 3.01, 2 Y 3.28
Ca  0.0000  0.0000  0.0000  4 Ca 3.01-3.28
Ca  0.5000  0.5000  0.0000  4 Ca 3.01-3.28
Os  0.5000  0.0000  0.5000  2 Y 3.01, 2 Os 3.28

***

No. 6
DFT (GGA-PBE) results for a relaxed structure of La2Sm2ErTm4.

Computed properties:
Calculated total energy, eV for the cell shown: -41.69
Theoretical density, g/cm3: 8.1

abc: 3.6127 9.5285 9.5939
angles: 115.26 90.00 100.93
Last column: nearest neighbours and their distance in Å.
Element x y z (fractional)
Er  0.0000  0.0000  0.0000  6 Tm 3.55-3.57, 4 La 3.56, 2 Er 3.61
Tm  0.1848  0.3696  0.3388  3 Sm 3.47-3.64, 6 Tm 3.50-3.61, 1 Er 3.57, 2 La 3.58
Tm  0.8152  0.6304  0.6612  3 Sm 3.47-3.64, 6 Tm 3.50-3.61, 1 Er 3.57, 2 La 3.58
Tm  0.4794  0.9588  0.6656  4 Sm 3.50-3.63, 5 Tm 3.55-3.61, 2 Er 3.55, 1 La 3.56
Tm  0.5206  0.0412  0.3344  4 Sm 3.50-3.63, 5 Tm 3.55-3.61, 2 Er 3.55, 1 La 3.56
La  0.3355  0.6711  0.9983  3 Tm 3.56-3.58, 2 Er 3.56, 3 Sm 3.60-3.61, 4 La 3.61-3.69
La  0.6645  0.3289  0.0017  3 Tm 3.56-3.58, 2 Er 3.56, 3 Sm 3.60-3.61, 4 La 3.61-3.69
Sm  0.1468  0.2937  0.6621  7 Tm 3.47-3.64, 3 La 3.60-3.61, 2 Sm 3.61
Sm  0.8532  0.7063  0.3379  7 Tm 3.47-3.64, 3 La 3.60-3.61, 2 Sm 3.61

***

No. 7
DFT (GGA-PBE) results for a relaxed structure of Ca3Sb5S12.

Computed properties:
Calculated total energy, eV for the cell shown: -357.01
Theoretical density, g/cm3: 3.5

abc: 14.0547 14.0547 14.0547
angles: 109.47 109.47 109.47
Last column: nearest neighbours and their distance in Å.
Element x y z (fractional)
S  0.1746  0.0832  0.7148  2 Sb 2.51-2.70
S  0.5402  0.2148  0.1316  2 Sb 2.51-2.70
S  0.0913  0.1746  0.4598  2 Sb 2.51-2.70
S  0.2148  0.5402  0.6316  2 Sb 2.51-2.70
S  0.7852  0.3254  0.9168  2 Sb 2.51-2.70
S  0.3684  0.4087  0.0832  2 Sb 2.51-2.70
S  0.6316  0.5913  0.9168  2 Sb 2.51-2.70
S  0.2852  0.4168  0.8254  2 Sb 2.51-2.70
S  0.7852  0.4598  0.3684  2 Sb 2.51-2.70
S  0.5913  0.6316  0.4168  2 Sb 2.51-2.70
S  0.4168  0.2852  0.3254  2 Sb 2.51-2.70
S  0.9598  0.5913  0.1746  2 Sb 2.51-2.70
S  0.0913  0.9168  0.1316  2 Sb 2.51-2.70
S  0.5832  0.8684  0.4087  2 Sb 2.51-2.70
S  0.4087  0.3684  0.5832  2 Sb 2.51-2.70
S  0.8254  0.9087  0.0402  2 Sb 2.51-2.70
S  0.9168  0.0913  0.6316  2 Sb 2.51-2.70
S  0.2148  0.6746  0.0832  2 Sb 2.51-2.70
S  0.3254  0.7852  0.4168  2 Sb 2.51-2.70
S  0.0832  0.9087  0.3684  2 Sb 2.51-2.70
S  0.0402  0.4087  0.8254  2 Sb 2.51-2.70
S  0.9087  0.0832  0.8684  2 Sb 2.51-2.70
S  0.7148  0.5832  0.1746  2 Sb 2.51-2.70
S  0.1316  0.4168  0.0913  2 Sb 2.51-2.70
S  0.9087  0.8254  0.5402  2 Sb 2.51-2.70
S  0.4087  0.0402  0.3254  2 Sb 2.51-2.70
S  0.1316  0.7148  0.5402  2 Sb 2.51-2.70
S  0.0402  0.6316  0.7148  2 Sb 2.51-2.70
S  0.4598  0.6746  0.0913  2 Sb 2.51-2.70
S  0.3254  0.5402  0.4087  2 Sb 2.51-2.70
S  0.4598  0.7852  0.8684  2 Sb 2.51-2.70
S  0.8684  0.2852  0.4598  2 Sb 2.51-2.70
S  0.6746  0.4598  0.5913  2 Sb 2.51-2.70
S  0.5832  0.7148  0.6746  2 Sb 2.51-2.70
S  0.6746  0.2148  0.5832  2 Sb 2.51-2.70
S  0.1746  0.0913  0.9598  2 Sb 2.51-2.70
S  0.6316  0.0402  0.2148  2 Sb 2.51-2.70
S  0.4168  0.1316  0.5913  2 Sb 2.51-2.70
S  0.9168  0.8254  0.7852  2 Sb 2.51-2.70
S  0.7148  0.1316  0.0402  2 Sb 2.51-2.70
S  0.9598  0.3684  0.2852  2 Sb 2.51-2.70
S  0.3684  0.9598  0.7852  2 Sb 2.51-2.70
S  0.8684  0.5832  0.9087  2 Sb 2.51-2.70
S  0.2852  0.8684  0.9598  2 Sb 2.51-2.70
S  0.8254  0.9168  0.2852  2 Sb 2.51-2.70
S  0.5913  0.9598  0.6746  2 Sb 2.51-2.70
S  0.5402  0.3254  0.9087  2 Sb 2.51-2.70
S  0.0832  0.1746  0.2148  2 Sb 2.51-2.70
Sb  0.5000  0.5000  0.0000  6 S 2.70
Sb  0.5000  0.0000  0.5000  6 S 2.70
Sb  0.5000  0.0000  0.0000  6 S 2.70
Sb  0.7500  0.1250  0.8750  4 S 2.51
Sb  0.1250  0.7500  0.3750  4 S 2.51
Sb  0.0000  0.5000  0.5000  6 S 2.70
Sb  0.0000  0.5000  0.0000  6 S 2.70
Sb  0.2500  0.3750  0.6250  4 S 2.51
Sb  0.1250  0.3750  0.2500  4 S 2.51
Sb  0.0000  0.0000  0.5000  6 S 2.70
Sb  0.0000  0.0000  0.0000  6 S 2.70
Sb  0.8750  0.6250  0.7500  4 S 2.51
Sb  0.6250  0.7500  0.8750  4 S 2.51
Sb  0.5000  0.5000  0.5000  6 S 2.70
Sb  0.3750  0.1250  0.7500  4 S 2.51
Sb  0.8750  0.2500  0.6250  4 S 2.51
Sb  0.6250  0.8750  0.2500  4 S 2.51
Sb  0.3750  0.2500  0.1250  4 S 2.51
Sb  0.7500  0.6250  0.3750  4 S 2.51
Sb  0.2500  0.8750  0.1250  4 S 2.51
Ca  0.8750  0.7500  0.1250  8 S 3.02-3.11
Ca  0.6250  0.2500  0.3750  8 S 3.02-3.11
Ca  0.1250  0.8750  0.7500  8 S 3.02-3.11
Ca  0.2500  0.1250  0.3750  8 S 3.02-3.11
Ca  0.7500  0.3750  0.1250  8 S 3.02-3.11
Ca  0.8750  0.1250  0.2500  8 S 3.02-3.11
Ca  0.1250  0.2500  0.8750  8 S 3.02-3.11
Ca  0.3750  0.7500  0.6250  8 S 3.02-3.11
Ca  0.6250  0.3750  0.7500  8 S 3.02-3.11
Ca  0.3750  0.6250  0.2500  8 S 3.02-3.11
Ca  0.7500  0.8750  0.6250  8 S 3.02-3.11
Ca  0.2500  0.6250  0.8750  8 S 3.02-3.11

***

No. 8
DFT (GGA-PBE) results for a relaxed structure of TlSnCl3.

Computed properties:
Calculated total energy, eV for the cell shown: -67.70
Theoretical density, g/cm3: 4.4

abc: 15.9033 8.7926 8.7926
angles: 99.58 130.17 49.83
Last column: nearest neighbours and their distance in Å.
Element x y z (fractional)
Cl  0.6989  0.3666  0.2643  1 Sn 2.65
Cl  0.9032  0.7847  0.3822  1 Sn 2.59
Cl  0.4032  0.1178  0.7153  1 Sn 2.59
Cl  0.1989  0.2357  0.1334  1 Sn 2.65
Cl  0.3011  0.6334  0.7357  1 Sn 2.65
Cl  0.0967  0.9243  0.9088  1 Sn 2.59
Cl  0.4033  0.4088  0.4243  1 Sn 2.59
Cl  0.8011  0.7643  0.8666  1 Sn 2.65
Cl  0.5967  0.5912  0.5757  1 Sn 2.59
Cl  0.0968  0.2153  0.6178  1 Sn 2.59
Cl  0.5968  0.8822  0.2847  1 Sn 2.59
Cl  0.9033  0.0757  0.0912  1 Sn 2.59
Sn  0.7029  0.1293  0.0349  3 Cl 2.59-2.65
Sn  0.2029  0.4651  0.3707  3 Cl 2.59-2.65
Sn  0.7971  0.5349  0.6293  3 Cl 2.59-2.65
Sn  0.2971  0.8707  0.9651  3 Cl 2.59-2.65
Tl  0.7500  0.6008  0.1008  8 Cl 3.26-3.59
Tl  0.2500  0.8993  0.3993  8 Cl 3.26-3.59
Tl  0.2500  0.3992  0.8992  8 Cl 3.26-3.59
Tl  0.7500  0.1007  0.6007  8 Cl 3.26-3.59